## Ta2FeW (PBE)

Data for an optimized crystal structure of Ta2FeW.

Geometry as POSCAR:
```
Ta2FeW
1.0
1.633 -2.252 0.000
1.633 2.252 0.000
0.000 0.000 8.666
Ta Fe W
2 1 1
Direct
0.000 0.000 0.235 Ta
0.000 0.000 0.765 Ta
0.500 0.500 0.000 Fe
0.500 0.500 0.500 W
```

The calculation puts the total energy at -11.2952 eV per atom. As for the formation enthalpy at 0 K: -0.3 kcal/mol of atoms. Its crystal system is orthorhombic.

=====

## AlRhCl2 (PBE)

Data for an optimized crystal structure of AlRhCl2.

Geometry as POSCAR:
```
AlRhCl2
1.0
1.570 0.907 8.513
-1.570 0.907 8.513
0.000 -1.813 8.513
Al Rh Cl
1 1 2
Direct
0.000 0.000 0.000 Al
0.500 0.500 0.500 Rh
0.410 0.410 0.410 Cl
0.590 0.590 0.590 Cl
```

The calculation puts the total energy at -3.6937 eV per atom. For the relative energy among the computed polymorphs, the calculation gives 2.39 eV per formula unit. Its crystal system is trigonal. The uncorrected formation energy comes out at 3.1 meV/atom.

=====

## FeB3Os (PBE)

Data for an optimized crystal structure of FeB3Os.

Geometry as POSCAR:
```
FeB3Os
1.0
3.671 0.000 0.000
0.000 3.671 0.000
0.000 0.000 3.671
Fe B Os
1 3 1
Direct
0.000 0.000 0.000 Fe
0.000 0.000 0.500 B
0.000 0.500 0.000 B
0.500 0.000 0.000 B
0.500 0.500 0.500 Os
```

The calculation puts the total energy at -6.7265 eV per atom. As for the formation enthalpy at 0 K: 28.1 kcal/mol of atoms. For the relative energy among the computed polymorphs, the calculation gives 0.46 eV per formula unit. Its crystal system is cubic.

=====

## Li4ZnNi3 (PBE)

Data for an optimized crystal structure of Li4ZnNi3.

Geometry as POSCAR:
```
Li4ZnNi3
1.0
-2.108 2.112 5.714
2.108 -2.112 5.714
2.108 2.112 -5.714
Li Zn Ni
4 1 3
Direct
0.126 0.126 0.000 Li
0.252 0.752 0.500 Li
0.748 0.248 0.500 Li
0.874 0.874 0.000 Li
0.000 0.500 0.500 Zn
0.392 0.392 0.000 Ni
0.500 0.000 0.500 Ni
0.608 0.608 0.000 Ni
```

The calculation puts the total energy at -3.3229 eV per atom. As for the formation enthalpy at 0 K: -0.9 kcal/mol of atoms. Its crystal system is orthorhombic.

=====

Repeat the fourth record exactly.
## Li4ZnNi3 (PBE)

Data for an optimized crystal structure of Li4ZnNi3.

Geometry as POSCAR:
```
Li4ZnNi3
1.0
-2.108 2.112 5.714
2.108 -2.112 5.714
2.108 2.112 -5.714
Li Zn Ni
4 1 3
Direct
0.126 0.126 0.000 Li
0.252 0.752 0.500 Li
0.748 0.248 0.500 Li
0.874 0.874 0.000 Li
0.000 0.500 0.500 Zn
0.392 0.392 0.000 Ni
0.500 0.000 0.500 Ni
0.608 0.608 0.000 Ni
```

The calculation puts the total energy at -3.3229 eV per atom. As for the formation enthalpy at 0 K: -0.9 kcal/mol of atoms. Its crystal system is orthorhombic.

=====

Copy entry 1 word for word.
## Ta2FeW (PBE)

Data for an optimized crystal structure of Ta2FeW.

Geometry as POSCAR:
```
Ta2FeW
1.0
1.633 -2.252 0.000
1.633 2.252 0.000
0.000 0.000 8.666
Ta Fe W
2 1 1
Direct
0.000 0.000 0.235 Ta
0.000 0.000 0.765 Ta
0.500 0.500 0.000 Fe
0.500 0.500 0.500 W
```

The calculation puts the total energy at -11.2952 eV per atom. As for the formation enthalpy at 0 K: -0.3 kcal/mol of atoms. Its crystal system is orthorhombic.

=====

What did the third record say?
## FeB3Os (PBE)

Data for an optimized crystal structure of FeB3Os.

Geometry as POSCAR:
```
FeB3Os
1.0
3.671 0.000 0.000
0.000 3.671 0.000
0.000 0.000 3.671
Fe B Os
1 3 1
Direct
0.000 0.000 0.000 Fe
0.000 0.000 0.500 B
0.000 0.500 0.000 B
0.500 0.000 0.000 B
0.500 0.500 0.500 Os
```

The calculation puts the total energy at -6.7265 eV per atom. As for the formation enthalpy at 0 K: 28.1 kcal/mol of atoms. For the relative energy among the computed polymorphs, the calculation gives 0.46 eV per formula unit. Its crystal system is cubic.

=====

> The highest total energy belongs to which entry?

Li4ZnNi3